Entry from the Alexandria database: an optimized crystal structure of Ho3Ga8 (PBE-GGA).

Results
- V (Å³/cell) = 220
- DFT formation energy (eV/atom) = -0.501
- magnetic moment (μB/cell) = 0.00
- symmetry = Immm
- total energy (eV per cell) = -43.46

```
Ho3Ga8
1.0
-2.049 2.127 12.644
2.049 -2.127 12.644
2.049 2.127 -12.644
Ho Ga
3 8
direct
0.000 0.000 0.000
0.357 0.857 0.500
0.643 0.143 0.500
0.094 0.594 0.500
0.189 0.689 0.500
0.252 0.252 0.000
0.452 0.452 0.000
0.548 0.548 0.000
0.748 0.748 0.000
0.811 0.311 0.500
0.906 0.406 0.500
```



Entry from the Alexandria database: an optimized crystal structure of Ho13Ga2 (PBE-GGA).

Results
- V (Å³/cell) = 443
- DFT formation energy (eV/atom) = -0.094
- magnetic moment (μB/cell) = 0.00
- symmetry = P-1
- total energy (eV per cell) = -66.98

```
Ho13Ga2
1.0
6.608 0.000 0.000
1.444 8.027 0.000
1.425 3.885 8.356
Ho Ga
13 2
direct
0.000 0.000 0.000
0.037 0.226 0.338
0.183 0.646 0.358
0.238 0.578 0.008
0.279 0.347 0.763
0.438 0.071 0.148
0.479 0.765 0.577
0.521 0.235 0.423
0.562 0.929 0.852
0.721 0.653 0.237
0.762 0.422 0.992
0.817 0.354 0.642
0.963 0.774 0.662
0.183 0.050 0.674
0.817 0.950 0.326
```